a | Computed, not measured: a geometry-optimized SrCrTc2 structure at the PBE level of DFT.

The value obtained for the density is 7.61 Mg/m³.

Cell: 3.101 3.101 7.620 Å, 90.00 90.00 90.03°
Positions (direct):
Cr 0.500 0.500 0.250
Sr 0.500 0.500 0.750
Tc 0.000 0.000 0.080
Tc 0.000 0.000 0.420

b | Computed, not measured: a geometry-optimized SrCrTc2 structure at the PBE level of DFT.

The value obtained for the density is 7.89 Mg/m³.

Cell: 9.228 9.228 9.228 Å, 18.71 18.71 18.71°
Positions (direct):
Cr 0.250 0.250 0.250
Sr 0.750 0.750 0.750
Tc 0.982 0.982 0.982
Tc 0.518 0.518 0.518

Most stable structure - a; separation to the second - 241 meV per atom.